[1]
{
  "formula": "RePbW",
  "functional": "GGA-PBE",
  "state": "optimized geometry",
  "dos_at_fermi_per_ev_cell": 2.130,
  "energy_ev_per_atom": -8.8290,
  "magnetic_moment_mub_per_cell": 0.000,
  "space_group": "Fmm2",
  "formation_energy_ev_per_atom": 0.874,
  "relative_energy_ev_per_atom": 0.182,
  "cell": [[0.000, 2.471, 7.386], [1.623, 0.000, 7.386], [1.623, 2.471, 0.000]],
  "species": ["Re", "Pb", "W"],
  "fractional_positions": [[0.000, 0.000, 0.000], [0.686, 0.686, 0.314], [0.371, 0.371, 0.629]]
}

---

[2]
{
  "formula": "RePb2W",
  "functional": "GGA-PBE",
  "state": "optimized geometry",
  "dos_at_fermi_per_ev_cell": 3.203,
  "energy_ev_per_atom": -7.6417,
  "magnetic_moment_mub_per_cell": 0.000,
  "space_group": "R3m",
  "formation_energy_ev_per_atom": 0.563,
  "relative_energy_ev_per_atom": 0.150,
  "cell": [[1.607, 0.928, 10.831], [-1.607, 0.928, 10.831], [0.000, -1.855, 10.831]],
  "species": ["Re", "Pb", "Pb", "W"],
  "fractional_positions": [[0.000, 0.000, 0.000], [0.533, 0.533, 0.533], [0.748, 0.748, 0.748], [0.282, 0.282, 0.282]]
}

---

[3]
{
  "formula": "Re4PbW",
  "functional": "GGA-PBE",
  "state": "optimized geometry",
  "dos_at_fermi_per_ev_cell": 3.826,
  "energy_ev_per_atom": -10.3421,
  "magnetic_moment_mub_per_cell": 0.000,
  "space_group": "F-43m",
  "formation_energy_ev_per_atom": 0.734,
  "cell": [[0.000, 3.714, 3.714], [3.714, 0.000, 3.714], [3.714, 3.714, 0.000]],
  "species": ["Re", "Re", "Re", "Re", "Pb", "W"],
  "fractional_positions": [[0.125, 0.125, 0.125], [0.125, 0.125, 0.624], [0.125, 0.624, 0.125], [0.624, 0.125, 0.125], [0.500, 0.500, 0.500], [0.750, 0.750, 0.750]]
}

---

[4]
{
  "formula": "RePb2W",
  "functional": "GGA-PBE",
  "state": "optimized geometry",
  "dos_at_fermi_per_ev_cell": 1.964,
  "energy_ev_per_atom": -7.0143,
  "magnetic_moment_mub_per_cell": 0.000,
  "space_group": "I-4m2",
  "formation_energy_ev_per_atom": 1.190,
  "relative_energy_ev_per_atom": 0.778,
  "cell": [[-2.432, 2.432, 3.434], [2.432, -2.432, 3.434], [2.432, 2.432, -3.434]],
  "species": ["Re", "Pb", "Pb", "W"],
  "fractional_positions": [[0.000, 0.000, 0.000], [0.250, 0.750, 0.500], [0.500, 0.500, 0.000], [0.750, 0.250, 0.500]]
}

---

[5]
{
  "formula": "RePb2W",
  "functional": "GGA-PBE",
  "state": "optimized geometry",
  "dos_at_fermi_per_ev_cell": 3.084,
  "energy_ev_per_atom": -7.4639,
  "magnetic_moment_mub_per_cell": 0.000,
  "space_group": "Cm",
  "formation_energy_ev_per_atom": 0.741,
  "relative_energy_ev_per_atom": 0.328,
  "cell": [[4.177, -1.623, 0.000], [4.177, 1.623, 0.000], [-1.434, 0.000, 7.350]],
  "species": ["Re", "Pb", "Pb", "W"],
  "fractional_positions": [[0.000, 0.000, 0.000], [0.238, 0.238, 0.746], [0.487, 0.487, 0.361], [0.723, 0.723, 0.110]]
}

---

[6]
{
  "formula": "Re2PbW",
  "functional": "GGA-PBE",
  "state": "optimized geometry",
  "dos_at_fermi_per_ev_cell": 4.192,
  "energy_ev_per_atom": -9.7402,
  "magnetic_moment_mub_per_cell": 0.000,
  "space_group": "P4/mmm",
  "formation_energy_ev_per_atom": 0.649,
  "cell": [[3.159, 0.000, 0.000], [0.000, 3.159, 0.000], [0.000, 0.000, 7.125]],
  "species": ["Re", "Re", "Pb", "W"],
  "fractional_positions": [[0.000, 0.000, 0.212], [0.000, 0.000, 0.788], [0.500, 0.500, 0.500], [0.500, 0.500, 0.000]]
}